No. 1
Entry from Alexandria via LeMat-Bulk: Co6Ni3Ir after structural relaxation (GGA-PBE).

Lattice parameters (Å, degrees): 6.701 4.745 4.745 58.72 68.96 68.96
Last column: magnetic moment on the atom in μB.
Element x y z (fractional)
Co  0.306  0.067  0.556  1.73
Co  0.694  0.444  0.933  1.73
Co  0.694  0.933  0.444  1.73
Co  0.306  0.556  0.067  1.73
Co  0.065  0.650  0.650  1.84
Co  0.935  0.350  0.350  1.84
Ni  0.303  0.067  0.067  0.69
Ni  0.697  0.933  0.933  0.69
Ni  0.000  0.000  0.000  0.80
Ir  0.500  0.500  0.500  0.62

Results
space group = C2/m, No. 12
ΔH_f (0 K) = 0.177 eV/atom
ΔE to the lowest computed polymorph = 178.5 kJ/mol of formula units

---

No. 2
Entry from Alexandria via LeMat-Bulk: Co2NiIr after structural relaxation (GGA-PBE).

Lattice parameters (Å, degrees): 8.421 8.421 8.421 17.81 17.81 17.81
Last column: magnetic moment on the atom in μB.
Element x y z (fractional)
Ni  0.746  0.746  0.746  0.72
Ir  0.501  0.501  0.501  0.20
Co  0.999  0.999  0.999  1.72
Co  0.254  0.254  0.254  1.74

Results
space group = R3m, No. 160
ΔH_f (0 K) = 0.079 eV/atom

---

No. 3
Entry from Alexandria via LeMat-Bulk: Co4Ni15Ir after structural relaxation (GGA-PBE).

Lattice parameters (Å, degrees): 3.552 3.552 17.632 90.00 90.00 90.00
Last column: magnetic moment on the atom in μB.
Element x y z (fractional)
Co  0.000  0.000  0.204  1.75
Co  0.000  0.000  0.401  1.74
Co  0.000  0.000  0.599  1.74
Co  0.000  0.000  0.796  1.75
Ni  0.500  0.500  0.000  0.52
Ni  0.500  0.500  0.204  0.71
Ni  0.500  0.500  0.401  0.69
Ni  0.500  0.500  0.599  0.69
Ni  0.500  0.500  0.796  0.71
Ni  0.500  0.000  0.105  0.68
Ni  0.500  0.000  0.303  0.71
Ni  0.500  0.000  0.500  0.71
Ni  0.500  0.000  0.697  0.71
Ni  0.500  0.000  0.895  0.68
Ni  0.000  0.500  0.105  0.68
Ni  0.000  0.500  0.303  0.71
Ni  0.000  0.500  0.500  0.71
Ni  0.000  0.500  0.697  0.71
Ni  0.000  0.500  0.895  0.68
Ir  0.000  0.000  0.000  0.54

Results
space group = P4/mmm, No. 123
ΔH_f (0 K) = 0.025 eV/atom

---

No. 4
Entry from Alexandria via LeMat-Bulk: Co5Ni2Ir4 after structural relaxation (GGA-PBE).

Lattice parameters (Å, degrees): 3.839 5.124 14.720 90.00 90.00 90.00
Last column: magnetic moment on the atom in μB.
Element x y z (fractional)
Co  0.000  0.086  0.587  1.77
Co  0.000  0.914  0.413  1.77
Co  0.000  0.414  0.087  1.77
Co  0.000  0.586  0.913  1.77
Co  0.000  0.171  0.749  1.94
Co  0.000  0.829  0.251  1.94
Co  0.000  0.329  0.249  1.94
Co  0.000  0.671  0.751  1.94
Co  0.000  0.000  0.000  1.62
Co  0.000  0.500  0.500  1.62
Ni  0.500  0.919  0.682  0.68
Ni  0.500  0.081  0.318  0.68
Ni  0.500  0.581  0.182  0.68
Ni  0.500  0.419  0.818  0.68
Ir  0.500  0.267  0.978  0.36
Ir  0.500  0.733  0.022  0.36
Ir  0.500  0.233  0.478  0.36
Ir  0.500  0.767  0.522  0.36
Ir  0.500  0.412  0.651  0.61
Ir  0.500  0.588  0.349  0.61
Ir  0.500  0.088  0.151  0.61
Ir  0.500  0.912  0.849  0.61

Results
space group = Pbam, No. 55
ΔH_f (0 K) = 0.238 eV/atom

---

No. 5
Entry from Alexandria via LeMat-Bulk: CoNiIr3 after structural relaxation (GGA-PBE).

Lattice parameters (Å, degrees): 4.948 7.294 8.364 115.85 93.19 90.00
Last column: magnetic moment on the atom in μB.
Element x y z (fractional)
Co  0.195  0.667  0.444  1.29
Co  0.305  0.223  0.556  1.29
Co  0.805  0.333  0.556  1.29
Co  0.695  0.777  0.444  1.29
Ni  0.750  0.110  0.000  0.30
Ni  0.250  0.890  0.000  0.30
Ni  0.750  0.762  0.000  0.12
Ni  0.250  0.238  0.000  0.12
Ir  0.441  0.971  0.715  0.17
Ir  0.059  0.256  0.285  0.17
Ir  0.559  0.029  0.285  0.17
Ir  0.941  0.744  0.715  0.17
Ir  0.053  0.914  0.315  0.13
Ir  0.447  0.599  0.685  0.13
Ir  0.947  0.086  0.685  0.13
Ir  0.553  0.401  0.315  0.13
Ir  0.403  0.637  0.152  0.03
Ir  0.097  0.484  0.848  0.03
Ir  0.597  0.363  0.848  0.03
Ir  0.903  0.516  0.152  0.03

Results
space group = C2/c, No. 15
ΔH_f (0 K) = 0.163 eV/atom
ΔE to the lowest computed polymorph = 0.0 kJ/mol of formula units

---

No. 6
Entry from Alexandria via LeMat-Bulk: Co7NiIr4 after structural relaxation (GGA-PBE).

Lattice parameters (Å, degrees): 4.600 4.035 8.719 103.34 75.11 90.02
Last column: magnetic moment on the atom in μB.
Element x y z (fractional)
Co  0.822  0.453  0.907  1.61
Co  0.178  0.547  0.093  1.61
Co  0.052  0.290  0.579  1.47
Co  0.948  0.710  0.421  1.47
Co  0.380  0.785  0.570  1.82
Co  0.500  0.000  0.000  1.70
Co  0.620  0.215  0.430  1.82
Ni  0.000  0.000  0.000  0.78
Ir  0.613  0.613  0.224  0.59
Ir  0.387  0.387  0.776  0.59
Ir  0.802  0.861  0.722  0.51
Ir  0.198  0.139  0.278  0.51

Results
space group = C2/m, No. 12
ΔH_f (0 K) = 0.212 eV/atom